A plane-wave DFT calculation with PBE was carried out for a geometry-optimized PuAs4Ru5 structure.

Lattice parameters (Å, degrees): 7.8345 7.8345 7.8345 151.48 127.00 61.29
Closest atoms and distances in Å follow each position.
Fractional coordinates of all 10 atoms:
Pu: 0.0000 0.0000 0.0000  6 As 2.83-3.01
As: 0.2236 0.2236 0.0000  6 Ru 2.48-2.53
As: 0.2954 0.5000 0.7954  4 Ru 2.37-2.40
As: 0.7046 0.5000 0.2046  4 Ru 2.37-2.40
As: 0.7764 0.7764 0.0000  6 Ru 2.48-2.53
Ru: 0.0395 0.3297 0.7098  4 As 2.37-2.53
Ru: 0.3801 0.6703 0.7098  4 As 2.37-2.53
Ru: 0.5000 0.0000 0.5000  4 As 2.40
Ru: 0.6199 0.3297 0.2902  4 As 2.37-2.53
Ru: 0.9605 0.6703 0.2902  4 As 2.37-2.53

Output
Theoretical density = 9.576 Mg/m³
Formation energy from the elements = -55 meV/atom
Uncorrected energy = -79.9 eV per formula unit